# Ce3CoSn PBE-GGA relaxed
data_Ce3CoSn
_cell_length_a 5.724
_cell_length_b 6.850
_cell_length_c 13.531
_cell_angle_alpha 90.00
_cell_angle_beta 90.00
_cell_angle_gamma 90.00
_space_group_name_H-M_alt 'I m m a'
_space_group_IT_number 74
_space_group_name_Hall '-I 2b 2'
loop_
_atom_site_label
_atom_site_fract_x
_atom_site_fract_y
_atom_site_fract_z
_atom_site_occupancy
Ce1 0.000 0.022 0.147 1
Ce2 0.000 0.250 0.591 1
Co1 0.000 0.250 0.969 1
Sn1 0.000 0.250 0.360 1
# ΔH_f (0 K) ... -0.235 eV per atom
# Calculated density ... 7.487 Mg/m³
# Distance to the lowest polymorph of the same formula ... 0.60 eV/f.u.
# M_tot ... 1.9 μB/f.u.

---

# Ce6Co2Sn PBE-GGA relaxed
data_Ce6Co2Sn
_cell_length_a 10.708
_cell_length_b 4.508
_cell_length_c 8.699
_cell_angle_alpha 90.00
_cell_angle_beta 91.24
_cell_angle_gamma 90.00
_space_group_name_H-M_alt 'C 1 2/m 1'
_space_group_IT_number 12
_space_group_name_Hall '-C 2y'
loop_
_atom_site_label
_atom_site_fract_x
_atom_site_fract_y
_atom_site_fract_z
_atom_site_occupancy
Ce1 0.086 0.000 0.183 1
Ce2 0.090 0.500 0.864 1
Ce3 0.215 0.000 0.607 1
Co1 0.247 0.000 0.889 1
Sn1 0.000 0.500 0.500 1
# ΔH_f (0 K) ... -0.282 eV per atom
# Calculated density ... 8.523 Mg/m³
# M_tot ... 1.4 μB/f.u.

---

# CeCoSn PBE-GGA relaxed
data_CeCoSn
_cell_length_a 4.5357
_cell_length_b 4.5357
_cell_length_c 3.6397
_cell_angle_alpha 90.00
_cell_angle_beta 90.00
_cell_angle_gamma 120.00
_space_group_name_H-M_alt 'P -6 m 2'
_space_group_IT_number 187
_space_group_name_Hall 'P -6 2'
loop_
_atom_site_label
_atom_site_fract_x
_atom_site_fract_y
_atom_site_fract_z
_atom_site_occupancy
Ce1 0.0000 0.0000 0.0000 1
Co1 0.3333 0.6667 0.5000 1
Sn1 0.6667 0.3333 0.5000 1
# ΔH_f (0 K) ... -0.364 eV per atom
# Calculated density ... 8.137 Mg/m³
# M_tot ... 0.1 μB/f.u.

---

# CeCo6Sn12 PBE-GGA relaxed
data_CeCo6Sn12
_cell_length_a 12.3450
_cell_length_b 12.3450
_cell_length_c 8.8918
_cell_angle_alpha 90.00
_cell_angle_beta 90.00
_cell_angle_gamma 120.00
_space_group_name_H-M_alt 'R -3 m'
_space_group_IT_number 166
_space_group_name_Hall '-R 3 2"'
loop_
_atom_site_label
_atom_site_fract_x
_atom_site_fract_y
_atom_site_fract_z
_atom_site_occupancy
Ce1 0.0000 0.0000 0.0000 1
Co1 0.0531 0.5266 0.2514 1
Sn1 0.0000 0.3781 0.5000 1
Sn2 0.0860 0.1720 0.3245 1
# ΔH_f (0 K) ... 0.037 eV per atom
# Calculated density ... 8.143 Mg/m³
# M_tot ... 1.6 μB/f.u.

---

# Ce2CoSn2 PBE-GGA relaxed
data_Ce2CoSn2
_cell_length_a 4.220
_cell_length_b 6.060
_cell_length_c 10.478
_cell_angle_alpha 89.13
_cell_angle_beta 84.46
_cell_angle_gamma 73.54
_space_group_name_H-M_alt 'P -1'
_space_group_IT_number 2
_space_group_name_Hall '-P 1'
loop_
_atom_site_label
_atom_site_fract_x
_atom_site_fract_y
_atom_site_fract_z
_atom_site_occupancy
Ce1 0.060 0.233 0.140 1
Ce2 0.114 0.718 0.383 1
Co1 0.181 0.173 0.780 1
Sn1 0.413 0.688 0.094 1
Sn2 0.496 0.175 0.378 1
# ΔH_f (0 K) ... -0.486 eV per atom
# Calculated density ... 7.488 Mg/m³
# M_tot ... 0.8 μB/f.u.

---

# Ce11Co4Sn9 PBE-GGA relaxed
data_Ce11Co4Sn9
_cell_length_a 13.823
_cell_length_b 20.533
_cell_length_c 4.110
_cell_angle_alpha 90.00
_cell_angle_beta 90.00
_cell_angle_gamma 90.00
_space_group_name_H-M_alt 'C m m m'
_space_group_IT_number 65
_space_group_name_Hall '-C 2 2'
loop_
_atom_site_label
_atom_site_fract_x
_atom_site_fract_y
_atom_site_fract_z
_atom_site_occupancy
Ce1 0.000 0.000 0.000 1
Ce2 0.000 0.160 0.000 1
Ce3 0.000 0.374 0.000 1
Ce4 0.187 0.500 0.000 1
Ce5 0.249 0.169 0.000 1
Co1 0.154 0.397 0.500 1
Sn1 0.000 0.500 0.500 1
Sn2 0.108 0.264 0.500 1
Sn3 0.149 0.073 0.500 1
# ΔH_f (0 K) ... -0.537 eV per atom
# Calculated density ... 8.100 Mg/m³
# M_tot ... 5.7 μB/f.u.

---

# Ce3CoSn PBE-GGA relaxed
data_Ce3CoSn
_cell_length_a 4.793
_cell_length_b 6.030
_cell_length_c 9.528
_cell_angle_alpha 91.15
_cell_angle_beta 103.86
_cell_angle_gamma 110.74
_space_group_name_H-M_alt 'P -1'
_space_group_IT_number 2
_space_group_name_Hall '-P 1'
loop_
_atom_site_label
_atom_site_fract_x
_atom_site_fract_y
_atom_site_fract_z
_atom_site_occupancy
Ce1 0.034 0.381 0.177 1
Ce2 0.192 0.293 0.559 1
Ce3 0.358 0.045 0.235 1
Co1 0.332 0.767 0.457 1
Sn1 0.346 0.253 0.917 1
# ΔH_f (0 K) ... -0.319 eV per atom
# Calculated density ... 7.997 Mg/m³
# Distance to the lowest polymorph of the same formula ... 0.18 eV/f.u.
# M_tot ... 1.4 μB/f.u.

---

# Ce2CoSn PBE-GGA relaxed
data_Ce2CoSn
_cell_length_a 3.6422
_cell_length_b 3.6422
_cell_length_c 29.1870
_cell_angle_alpha 90.00
_cell_angle_beta 90.00
_cell_angle_gamma 120.00
_space_group_name_H-M_alt 'R -3 m'
_space_group_IT_number 166
_space_group_name_Hall '-R 3 2"'
loop_
_atom_site_label
_atom_site_fract_x
_atom_site_fract_y
_atom_site_fract_z
_atom_site_occupancy
Ce1 0.0000 0.0000 0.1112 1
Co1 0.0000 0.0000 0.5000 1
Sn1 0.0000 0.0000 0.0000 1
# ΔH_f (0 K) ... 0.038 eV per atom
# Calculated density ... 6.803 Mg/m³
# M_tot ... 1.5 μB/f.u.